Density functional theory data (PBE-GGA) for LaHgB after structural relaxation.

The structure in POSCAR format:
```
LaHgB
1.0
4.069 0.000 0.000
0.000 2.095 7.931
0.000 -2.095 7.931
La Hg B
2 2 2
direct
0.000 0.000 0.000
0.000 0.258 0.258
0.500 0.421 0.421
0.500 0.615 0.615
0.500 0.752 0.752
0.500 0.851 0.851
```

Output
* formation energy from the elements: -12.92 kJ/mol of atoms
* calculated volume: 135.2 Å³ per cell
* E above lowest polymorph: 262 meV/atom
* space group: No. 38
* VASP energy: -4.10 eV per atom